Density functional theory data (PBE) for a relaxed KTbAgTe3 crystal.

Output
Crystal system ... orthorhombic
Spin magnetization ... 0.00 μB/f.u.
E_form (uncorrected) ... -908.0 meV/atom

abc: 8.5630 8.5630 11.3480
angles: 90.00 90.00 150.81
Sites, in units of the cell vectors:
K1 0.2425 0.7575 0.7500
K2 0.7575 0.2425 0.2500
Tb1 0.0000 0.0000 0.0000
Tb2 0.0000 0.0000 0.5000
Ag1 0.4699 0.5301 0.2500
Ag2 0.5301 0.4699 0.7500
Te1 0.0802 0.9198 0.2500
Te2 0.3704 0.6296 0.0524
Te3 0.3704 0.6296 0.4476
Te4 0.6296 0.3704 0.5524
Te5 0.6296 0.3704 0.9476
Te6 0.9198 0.0802 0.7500

---

Density functional theory data (PBE) for a relaxed TaPtSe4 crystal.

Output
Crystal system ... monoclinic
Spin magnetization ... 0.00 μB/f.u.
E_form (uncorrected) ... -317.2 meV/atom

abc: 8.2396 8.2396 8.2133
angles: 103.76 103.76 36.96
Sites, in units of the cell vectors:
Ta1 0.2086 0.2086 0.2814
Ta2 0.7914 0.7914 0.7186
Pt1 0.1010 0.1010 0.6876
Pt2 0.8990 0.8990 0.3124
Se1 0.0676 0.0676 0.3785
Se2 0.1231 0.1231 0.0032
Se3 0.2571 0.2571 0.6512
Se4 0.3722 0.3722 0.2951
Se5 0.6278 0.6278 0.7049
Se6 0.7429 0.7429 0.3488
Se7 0.8769 0.8769 0.9968
Se8 0.9324 0.9324 0.6215

---

Density functional theory data (PBE) for a relaxed LaHoCd2Au4 crystal.

Output
Crystal system ... trigonal
Formation energy from the elements ... -664 meV/atom
Spin magnetization ... 0.00 μB/f.u.

abc: 8.7002 8.7002 8.7002
angles: 33.49 33.49 33.49
Sites, in units of the cell vectors:
La1 0.0000 0.0000 0.0000
Ho1 0.5000 0.5000 0.5000
Cd1 0.2499 0.2499 0.2499
Cd2 0.7501 0.7501 0.7501
Au1 0.1301 0.1301 0.1301
Au2 0.3805 0.3805 0.3805
Au3 0.6195 0.6195 0.6195
Au4 0.8699 0.8699 0.8699